# 1
{"formula": "IrBrCl3", "functional": "PBE", "state": "optimized geometry", "lattice": [[6.347, 0.237, 1.760], [-2.531, 5.319, 1.639], [0.203, -0.044, 8.225]], "species": ["Cl", "Cl", "Cl", "Cl", "Cl", "Cl", "Ir", "Ir", "Br", "Br"], "fractional_positions": [[0.916, 0.206, 0.579], [0.122, 0.455, 0.127], [0.604, 0.364, 0.350], [0.255, 0.046, 0.899], [0.715, 0.976, 0.128], [0.010, 0.843, 0.351], [0.925, 0.722, 0.112], [0.798, 0.095, 0.366], [0.809, 0.610, 0.882], [0.451, 0.753, 0.596]], "rho_g_cm3": 4.47, "polymorph_energy_ev_per_atom": 0.000}


# 2
{"formula": "Ir2BrCl", "functional": "PBE", "state": "optimized geometry", "lattice": [[-3.230, -1.613, -2.337], [-1.313, -1.036, 2.529], [-2.326, 4.909, -0.173]], "species": ["Ir", "Ir", "Br", "Cl"], "fractional_positions": [[0.000, 0.445, 0.541], [0.000, 0.055, 0.959], [0.500, 0.250, 0.250], [0.500, 0.750, 0.750]], "rho_g_cm3": 11.85, "polymorph_energy_ev_per_atom": 0.735}


# 3
{"formula": "Ir2BrCl", "functional": "PBE", "state": "optimized geometry", "lattice": [[-1.499, -4.445, -0.576], [0.843, -1.770, 4.300], [-2.439, 3.926, -0.982]], "species": ["Cl", "Ir", "Ir", "Br"], "fractional_positions": [[0.750, 0.250, 0.500], [0.500, 0.500, 0.000], [0.000, 0.000, 0.000], [0.250, 0.750, 0.500]], "rho_g_cm3": 12.53, "polymorph_energy_ev_per_atom": 1.170}


# 4
{"formula": "IrBrCl3", "functional": "PBE", "state": "optimized geometry", "lattice": [[-2.071, 3.307, -3.493], [-4.254, 0.515, 3.009], [2.244, 4.028, 2.483]], "species": ["Ir", "Br", "Cl", "Cl", "Cl"], "fractional_positions": [[0.500, 0.500, 0.500], [0.000, 0.000, 0.000], [0.500, 0.000, 0.000], [0.000, 0.500, 0.000], [0.000, 0.000, 0.500]], "rho_g_cm3": 4.38, "polymorph_energy_ev_per_atom": 1.717}


# 5
{"formula": "Ir2BrCl", "functional": "PBE", "state": "optimized geometry", "lattice": [[0.000, 2.874, -2.147], [-2.929, -1.240, -1.660], [-4.245, 3.592, 4.808]], "species": ["Br", "Cl", "Ir", "Ir"], "fractional_positions": [[0.000, 0.000, 0.418], [0.500, 0.500, 0.840], [0.000, 0.000, 0.087], [0.500, 0.500, 0.155]], "rho_g_cm3": 8.77, "polymorph_energy_ev_per_atom": 0.461}


# 6
{"formula": "Ir2BrCl", "functional": "PBE", "state": "optimized geometry", "lattice": [[-0.350, 2.866, -1.054], [-2.241, -1.634, 1.324], [2.291, 3.130, 7.744]], "species": ["Cl", "Br", "Ir", "Ir"], "fractional_positions": [[0.500, 0.500, 0.750], [0.500, 0.500, 0.250], [0.000, 0.000, 0.993], [0.000, 0.000, 0.507]], "rho_g_cm3": 12.25, "polymorph_energy_ev_per_atom": 0.776}


# 7
{"formula": "Ir2BrCl", "functional": "PBE", "state": "optimized geometry", "lattice": [[-1.755, -2.269, 5.935], [-2.077, -6.066, -1.531], [4.495, 4.704, 1.058]], "species": ["Ir", "Ir", "Cl", "Br"], "fractional_positions": [[0.778, 0.278, 0.500], [0.982, 0.982, 0.000], [0.171, 0.671, 0.500], [0.568, 0.568, 0.000]], "rho_g_cm3": 7.34, "polymorph_energy_ev_per_atom": 0.598}


# 8
{"formula": "Ir2BrCl2", "functional": "PBE", "state": "optimized geometry", "lattice": [[3.811, 0.000, 0.000], [0.000, 3.811, 0.000], [1.905, 1.905, 7.333]], "species": ["Br", "Cl", "Cl", "Ir", "Ir"], "fractional_positions": [[0.000, 0.000, 0.000], [0.637, 0.637, 0.725], [0.363, 0.363, 0.275], [0.750, 0.250, 0.500], [0.250, 0.750, 0.500]], "rho_g_cm3": 8.35, "polymorph_energy_ev_per_atom": 0.000}


| no. | formation energy (no corrections) (eV/atom) |
| --- | --- |
| 1 | -0.33 |
| 2 | 0.94 |
| 3 | 1.38 |
| 4 | 1.39 |
| 5 | 0.67 |
| 6 | 0.99 |
| 7 | 0.81 |
| 8 | 0.87 |